--- 1 ---
Below is crystalline BOsC3 at its relaxed geometry, with properties calculated at the PBE-GGA level.

Lattice parameters (Å, degrees): 3.9789 3.9789 3.9789 90.00 90.00 90.00
With the nearest neighbours (Å) after each atom.
Atoms (fractional coordinates):
C 0.0000 0.5000 0.0000  2 Os 1.99
C 0.0000 0.0000 0.5000  2 Os 1.99
C 0.5000 0.0000 0.0000  2 Os 1.99
B 0.5000 0.5000 0.5000  12 C 2.81
Os 0.0000 0.0000 0.0000  6 C 1.99

---

--- 2 ---
Below is crystalline BOsC3 at its relaxed geometry, with properties calculated at the PBE-GGA level.

Lattice parameters (Å, degrees): 3.4538 3.4538 3.4538 90.00 90.00 90.00
With the nearest neighbours (Å) after each atom.
Atoms (fractional coordinates):
C 0.0000 0.5000 0.0000  2 B 1.73
C 0.0000 0.0000 0.5000  2 B 1.73
C 0.5000 0.0000 0.0000  2 B 1.73
B 0.0000 0.0000 0.0000  6 C 1.73
Os 0.5000 0.5000 0.5000  12 C 2.44

---

So which one wins? Going from most stable to least: 2, 1.